# MnCrRu2 (GGA-PBEsol, optimized geometry)
data_MnCrRu2
_cell_length_a 2.905
_cell_length_b 4.137
_cell_length_c 8.249
_cell_angle_alpha 90.00
_cell_angle_beta 90.00
_cell_angle_gamma 90.00
_symmetry_space_group_name_H-M 'P 1'
_symmetry_Int_Tables_number 1
loop_
_symmetry_equiv_pos_as_xyz
'x,y,z'
loop_
_atom_site_label
_atom_site_type_symbol
_atom_site_fract_x
_atom_site_fract_y
_atom_site_fract_z
Mn1 Mn 0.000 0.000 0.000
Mn2 Mn 0.500 0.500 0.500
Cr1 Cr 0.000 0.500 0.289
Cr2 Cr 0.500 0.000 0.789
Ru1 Ru 0.000 0.000 0.534
Ru2 Ru 0.000 0.500 0.756
Ru3 Ru 0.500 0.000 0.256
Ru4 Ru 0.500 0.500 0.034
# Crystal system ... orthorhombic
# DOS at the Fermi energy ... 4.5 states/eV/f.u.
# Spin magnetization ... 1.20 μB/f.u.
# DFT total energy ... -9.885 eV per atom



# Mn2ZnOs (GGA-PBEsol, optimized geometry)
data_Mn2ZnOs
_cell_length_a 8.583
_cell_length_b 2.671
_cell_length_c 4.424
_cell_angle_alpha 90.00
_cell_angle_beta 102.38
_cell_angle_gamma 90.00
_symmetry_space_group_name_H-M 'P 1'
_symmetry_Int_Tables_number 1
loop_
_symmetry_equiv_pos_as_xyz
'x,y,z'
loop_
_atom_site_label
_atom_site_type_symbol
_atom_site_fract_x
_atom_site_fract_y
_atom_site_fract_z
Mn1 Mn 0.000 0.000 0.000
Mn2 Mn 0.243 0.500 0.263
Mn3 Mn 0.500 0.500 0.000
Mn4 Mn 0.743 0.000 0.263
Zn1 Zn 0.497 0.000 0.493
Zn2 Zn 0.997 0.500 0.493
Os1 Os 0.257 0.000 0.776
Os2 Os 0.757 0.500 0.776
# Crystal system ... monoclinic
# DOS at the Fermi energy ... 3.2 states/eV/f.u.
# Spin magnetization ... 3.49 μB/f.u.
# DFT total energy ... -8.166 eV per atom



# BeNi2Pt (GGA-PBEsol, optimized geometry)
data_BeNi2Pt
_cell_length_a 2.689
_cell_length_b 2.689
_cell_length_c 5.979
_cell_angle_alpha 90.00
_cell_angle_beta 90.00
_cell_angle_gamma 90.00
_symmetry_space_group_name_H-M 'P 1'
_symmetry_Int_Tables_number 1
loop_
_symmetry_equiv_pos_as_xyz
'x,y,z'
loop_
_atom_site_label
_atom_site_type_symbol
_atom_site_fract_x
_atom_site_fract_y
_atom_site_fract_z
Be1 Be 0.000 0.000 0.000
Ni1 Ni 0.000 0.000 0.457
Ni2 Ni 0.500 0.500 0.204
Pt1 Pt 0.500 0.500 0.759
# Crystal system ... tetragonal
# DOS at the Fermi energy ... 6.2 states/eV/f.u.
# Spin magnetization ... 0.63 μB/f.u.
# DFT total energy ... -6.112 eV per atom



# Cr2CuCI (GGA-PBEsol, optimized geometry)
data_Cr2CuCI
_cell_length_a 4.732
_cell_length_b 4.732
_cell_length_c 4.769
_cell_angle_alpha 90.00
_cell_angle_beta 90.00
_cell_angle_gamma 90.00
_symmetry_space_group_name_H-M 'P 1'
_symmetry_Int_Tables_number 1
loop_
_symmetry_equiv_pos_as_xyz
'x,y,z'
loop_
_atom_site_label
_atom_site_type_symbol
_atom_site_fract_x
_atom_site_fract_y
_atom_site_fract_z
Cr1 Cr 0.000 0.500 0.000
Cr2 Cr 0.500 0.000 0.000
Cu1 Cu 0.000 0.000 0.000
C1 C 0.500 0.500 0.500
I1 I 0.000 0.000 0.500
# Crystal system ... tetragonal
# Uncorrected formation energy ... 2384 meV per atom
# DOS at the Fermi energy ... 4.1 states/eV/f.u.
# Spin magnetization ... 7.45 μB/f.u.
# DFT total energy ... -4.861 eV per atom



# LaAl2Re (GGA-PBEsol, optimized geometry)
data_LaAl2Re
_cell_length_a 6.688
_cell_length_b 6.688
_cell_length_c 6.688
_cell_angle_alpha 90.00
_cell_angle_beta 90.00
_cell_angle_gamma 90.00
_symmetry_space_group_name_H-M 'P 1'
_symmetry_Int_Tables_number 1
loop_
_symmetry_equiv_pos_as_xyz
'x,y,z'
loop_
_atom_site_label
_atom_site_type_symbol
_atom_site_fract_x
_atom_site_fract_y
_atom_site_fract_z
La1 La 0.000 0.000 0.000
La2 La 0.000 0.500 0.500
La3 La 0.500 0.000 0.500
La4 La 0.500 0.500 0.000
Al1 Al 0.250 0.250 0.250
Al2 Al 0.250 0.250 0.750
Al3 Al 0.250 0.750 0.250
Al4 Al 0.250 0.750 0.750
Al5 Al 0.750 0.250 0.250
Al6 Al 0.750 0.250 0.750
Al7 Al 0.750 0.750 0.250
Al8 Al 0.750 0.750 0.750
Re1 Re 0.000 0.000 0.500
Re2 Re 0.000 0.500 0.000
Re3 Re 0.500 0.000 0.000
Re4 Re 0.500 0.500 0.500
# Crystal system ... cubic
# E above lowest polymorph ... 1.1 kJ/mol of atoms
# DOS at the Fermi energy ... 4.9 states/eV/f.u.
# Spin magnetization ... 0.02 μB/f.u.
# DFT total energy ... -6.582 eV per atom



# CaTi2CuPb (GGA-PBEsol, optimized geometry)
data_CaTi2CuPb
_cell_length_a 5.274
_cell_length_b 5.274
_cell_length_c 4.878
_cell_angle_alpha 90.00
_cell_angle_beta 90.00
_cell_angle_gamma 90.00
_symmetry_space_group_name_H-M 'P 1'
_symmetry_Int_Tables_number 1
loop_
_symmetry_equiv_pos_as_xyz
'x,y,z'
loop_
_atom_site_label
_atom_site_type_symbol
_atom_site_fract_x
_atom_site_fract_y
_atom_site_fract_z
Ca1 Ca 0.000 0.000 0.000
Ti1 Ti 0.000 0.500 0.500
Ti2 Ti 0.500 0.000 0.500
Cu1 Cu 0.500 0.500 0.000
Pb1 Pb 0.500 0.500 0.500
# Crystal system ... tetragonal
# DOS at the Fermi energy ... 5.3 states/eV/f.u.
# Spin magnetization ... 4.44 μB/f.u.
# DFT total energy ... -4.505 eV per atom



# Cr2Si (GGA-PBEsol, optimized geometry)
data_Cr2Si
_cell_length_a 8.896
_cell_length_b 2.907
_cell_length_c 5.658
_cell_angle_alpha 90.00
_cell_angle_beta 110.89
_cell_angle_gamma 90.00
_symmetry_space_group_name_H-M 'P 1'
_symmetry_Int_Tables_number 1
loop_
_symmetry_equiv_pos_as_xyz
'x,y,z'
loop_
_atom_site_label
_atom_site_type_symbol
_atom_site_fract_x
_atom_site_fract_y
_atom_site_fract_z
Cr1 Cr 0.012 0.000 0.253
Cr2 Cr 0.165 0.500 0.069
Cr3 Cr 0.335 0.000 0.931
Cr4 Cr 0.488 0.500 0.747
Cr5 Cr 0.512 0.500 0.253
Cr6 Cr 0.665 0.000 0.069
Cr7 Cr 0.835 0.500 0.931
Cr8 Cr 0.988 0.000 0.747
Si1 Si 0.162 0.500 0.602
Si2 Si 0.338 0.000 0.398
Si3 Si 0.662 0.000 0.602
Si4 Si 0.838 0.500 0.398
# Crystal system ... monoclinic
# Uncorrected formation energy ... -147 meV per atom
# DOS at the Fermi energy ... 3.2 states/eV/f.u.
# Spin magnetization ... 0.00 μB/f.u.
# DFT total energy ... -8.890 eV per atom



# TaAlNi2 (GGA-PBEsol, optimized geometry)
data_TaAlNi2
_cell_length_a 6.175
_cell_length_b 6.192
_cell_length_c 2.734
_cell_angle_alpha 90.00
_cell_angle_beta 90.00
_cell_angle_gamma 90.00
_symmetry_space_group_name_H-M 'P 1'
_symmetry_Int_Tables_number 1
loop_
_symmetry_equiv_pos_as_xyz
'x,y,z'
loop_
_atom_site_label
_atom_site_type_symbol
_atom_site_fract_x
_atom_site_fract_y
_atom_site_fract_z
Ta1 Ta 0.000 0.000 0.000
Ta2 Ta 0.500 0.500 0.000
Al1 Al 0.000 0.500 0.000
Al2 Al 0.500 0.000 0.000
Ni1 Ni 0.250 0.250 0.500
Ni2 Ni 0.250 0.750 0.500
Ni3 Ni 0.750 0.250 0.500
Ni4 Ni 0.750 0.750 0.500
# Crystal system ... orthorhombic
# DOS at the Fermi energy ... 2.8 states/eV/f.u.
# Spin magnetization ... 0.00 μB/f.u.
# DFT total energy ... -7.580 eV per atom



# InHg2Cl (GGA-PBEsol, optimized geometry)
data_InHg2Cl
_cell_length_a 12.044
_cell_length_b 3.945
_cell_length_c 4.596
_cell_angle_alpha 90.00
_cell_angle_beta 112.34
_cell_angle_gamma 90.00
_symmetry_space_group_name_H-M 'P 1'
_symmetry_Int_Tables_number 1
loop_
_symmetry_equiv_pos_as_xyz
'x,y,z'
loop_
_atom_site_label
_atom_site_type_symbol
_atom_site_fract_x
_atom_site_fract_y
_atom_site_fract_z
In1 In 0.000 0.000 0.000
In2 In 0.500 0.500 0.000
Hg1 Hg 0.241 0.500 0.241
Hg2 Hg 0.259 0.000 0.759
Hg3 Hg 0.741 0.000 0.241
Hg4 Hg 0.759 0.500 0.759
Cl1 Cl 0.000 0.500 0.500
Cl2 Cl 0.500 0.000 0.500
# Crystal system ... monoclinic
# Uncorrected formation energy ... -311 meV per atom
# E above lowest polymorph ... 1.3 kJ/mol of atoms
# DOS at the Fermi energy ... 0.6 states/eV/f.u.
# Spin magnetization ... 0.00 μB/f.u.
# DFT total energy ... -1.842 eV per atom



# CoNi2SnPd (GGA-PBEsol, optimized geometry)
data_CoNi2SnPd
_cell_length_a 4.513
_cell_length_b 4.513
_cell_length_c 4.569
_cell_angle_alpha 90.00
_cell_angle_beta 90.00
_cell_angle_gamma 90.00
_symmetry_space_group_name_H-M 'P 1'
_symmetry_Int_Tables_number 1
loop_
_symmetry_equiv_pos_as_xyz
'x,y,z'
loop_
_atom_site_label
_atom_site_type_symbol
_atom_site_fract_x
_atom_site_fract_y
_atom_site_fract_z
Co1 Co 0.000 0.000 0.000
Ni1 Ni 0.000 0.500 0.500
Ni2 Ni 0.500 0.000 0.500
Sn1 Sn 0.000 0.000 0.500
Pd1 Pd 0.500 0.500 0.000
# Crystal system ... tetragonal
# DOS at the Fermi energy ... 9.7 states/eV/f.u.
# Spin magnetization ... 2.04 μB/f.u.
# DFT total energy ... -4.653 eV per atom



# Zr2SnH2 (GGA-PBEsol, optimized geometry)
data_Zr2SnH2
_cell_length_a 3.793
_cell_length_b 3.793
_cell_length_c 9.544
_cell_angle_alpha 90.00
_cell_angle_beta 90.00
_cell_angle_gamma 90.00
_symmetry_space_group_name_H-M 'P 1'
_symmetry_Int_Tables_number 1
loop_
_symmetry_equiv_pos_as_xyz
'x,y,z'
loop_
_atom_site_label
_atom_site_type_symbol
_atom_site_fract_x
_atom_site_fract_y
_atom_site_fract_z
Zr1 Zr 0.000 0.000 0.166
Zr2 Zr 0.000 0.000 0.834
Zr3 Zr 0.500 0.500 0.334
Zr4 Zr 0.500 0.500 0.666
Sn1 Sn 0.000 0.000 0.500
Sn2 Sn 0.500 0.500 0.000
H1 H 0.000 0.500 0.250
H2 H 0.000 0.500 0.750
H3 H 0.500 0.000 0.250
H4 H 0.500 0.000 0.750
# Crystal system ... tetragonal
# DOS at the Fermi energy ... 1.8 states/eV/f.u.
# Spin magnetization ... 0.00 μB/f.u.
# DFT total energy ... -6.376 eV per atom



# ZnH8O4F2 (GGA-PBEsol, optimized geometry)
data_ZnH8O4F2
_cell_length_a 12.360
_cell_length_b 5.248
_cell_length_c 7.348
_cell_angle_alpha 90.00
_cell_angle_beta 90.00
_cell_angle_gamma 90.00
_symmetry_space_group_name_H-M 'P 1'
_symmetry_Int_Tables_number 1
loop_
_symmetry_equiv_pos_as_xyz
'x,y,z'
loop_
_atom_site_label
_atom_site_type_symbol
_atom_site_fract_x
_atom_site_fract_y
_atom_site_fract_z
Zn1 Zn 0.124 0.197 0.000
Zn2 Zn 0.376 0.197 0.500
Zn3 Zn 0.624 0.803 0.000
Zn4 Zn 0.876 0.803 0.500
H1 H 0.017 0.475 0.246
H2 H 0.078 0.933 0.384
H3 H 0.079 0.946 0.605
H4 H 0.123 0.630 0.189
H5 H 0.135 0.749 0.821
H6 H 0.172 0.365 0.397
H7 H 0.174 0.374 0.616
H8 H 0.233 0.930 0.757
H9 H 0.267 0.930 0.257
H10 H 0.326 0.374 0.116
H11 H 0.328 0.365 0.897
H12 H 0.365 0.749 0.321
H13 H 0.377 0.630 0.689
H14 H 0.421 0.946 0.105
H15 H 0.422 0.933 0.884
H16 H 0.483 0.475 0.746
H17 H 0.517 0.525 0.246
H18 H 0.578 0.067 0.384
H19 H 0.579 0.054 0.605
H20 H 0.623 0.370 0.189
H21 H 0.635 0.251 0.821
H22 H 0.672 0.635 0.397
H23 H 0.674 0.626 0.616
H24 H 0.733 0.070 0.757
H25 H 0.767 0.070 0.257
H26 H 0.826 0.626 0.116
H27 H 0.828 0.635 0.897
H28 H 0.865 0.251 0.321
H29 H 0.877 0.370 0.689
H30 H 0.921 0.054 0.105
H31 H 0.922 0.067 0.884
H32 H 0.983 0.525 0.746
O1 O 0.031 0.931 0.495
O2 O 0.097 0.451 0.213
O3 O 0.154 0.933 0.796
O4 O 0.217 0.325 0.507
O5 O 0.283 0.325 0.007
O6 O 0.346 0.933 0.296
O7 O 0.403 0.451 0.713
O8 O 0.469 0.931 0.995
O9 O 0.531 0.069 0.495
O10 O 0.597 0.549 0.213
O11 O 0.654 0.067 0.796
O12 O 0.717 0.675 0.507
O13 O 0.783 0.675 0.007
O14 O 0.846 0.067 0.296
O15 O 0.903 0.549 0.713
O16 O 0.969 0.069 0.995
F1 F 0.100 0.466 0.794
F2 F 0.151 0.918 0.201
F3 F 0.349 0.918 0.701
F4 F 0.400 0.466 0.294
F5 F 0.600 0.534 0.794
F6 F 0.651 0.082 0.201
F7 F 0.849 0.082 0.701
F8 F 0.900 0.534 0.294
# Crystal system ... orthorhombic
# DOS at the Fermi energy ... 0.0 states/eV/f.u.
# Spin magnetization ... 0.00 μB/f.u.
# DFT total energy ... -4.853 eV per atom



Repeat the seventh record exactly.
# Cr2Si (GGA-PBEsol, optimized geometry)
data_Cr2Si
_cell_length_a 8.896
_cell_length_b 2.907
_cell_length_c 5.658
_cell_angle_alpha 90.00
_cell_angle_beta 110.89
_cell_angle_gamma 90.00
_symmetry_space_group_name_H-M 'P 1'
_symmetry_Int_Tables_number 1
loop_
_symmetry_equiv_pos_as_xyz
'x,y,z'
loop_
_atom_site_label
_atom_site_type_symbol
_atom_site_fract_x
_atom_site_fract_y
_atom_site_fract_z
Cr1 Cr 0.012 0.000 0.253
Cr2 Cr 0.165 0.500 0.069
Cr3 Cr 0.335 0.000 0.931
Cr4 Cr 0.488 0.500 0.747
Cr5 Cr 0.512 0.500 0.253
Cr6 Cr 0.665 0.000 0.069
Cr7 Cr 0.835 0.500 0.931
Cr8 Cr 0.988 0.000 0.747
Si1 Si 0.162 0.500 0.602
Si2 Si 0.338 0.000 0.398
Si3 Si 0.662 0.000 0.602
Si4 Si 0.838 0.500 0.398
# Crystal system ... monoclinic
# Uncorrected formation energy ... -147 meV per atom
# DOS at the Fermi energy ... 3.2 states/eV/f.u.
# Spin magnetization ... 0.00 μB/f.u.
# DFT total energy ... -8.890 eV per atom



> The lowest DFT total energy belongs to which entry?

MnCrRu2



> Look up the spin magnetization of the second one.

3.49 μB/f.u.



Repeat the eighth record exactly.
# TaAlNi2 (GGA-PBEsol, optimized geometry)
data_TaAlNi2
_cell_length_a 6.175
_cell_length_b 6.192
_cell_length_c 2.734
_cell_angle_alpha 90.00
_cell_angle_beta 90.00
_cell_angle_gamma 90.00
_symmetry_space_group_name_H-M 'P 1'
_symmetry_Int_Tables_number 1
loop_
_symmetry_equiv_pos_as_xyz
'x,y,z'
loop_
_atom_site_label
_atom_site_type_symbol
_atom_site_fract_x
_atom_site_fract_y
_atom_site_fract_z
Ta1 Ta 0.000 0.000 0.000
Ta2 Ta 0.500 0.500 0.000
Al1 Al 0.000 0.500 0.000
Al2 Al 0.500 0.000 0.000
Ni1 Ni 0.250 0.250 0.500
Ni2 Ni 0.250 0.750 0.500
Ni3 Ni 0.750 0.250 0.500
Ni4 Ni 0.750 0.750 0.500
# Crystal system ... orthorhombic
# DOS at the Fermi energy ... 2.8 states/eV/f.u.
# Spin magnetization ... 0.00 μB/f.u.
# DFT total energy ... -7.580 eV per atom